Pr4GaGeTe2: relaxed, PBE.

```
Pr4GaGeTe2
1.0
4.3830 0.0000 0.0000
0.0000 7.5581 0.1226
0.0000 -2.6546 7.4829
Te Pr Ga Ge
2 4 1 1
direct
0.5000 0.0000 0.5000 Te
0.0000 0.5000 0.5000 Te
0.0000 0.2515 0.7639 Pr
0.5000 0.7606 0.7706 Pr
0.0000 0.7485 0.2361 Pr
0.5000 0.2394 0.2294 Pr
0.5000 0.5000 0.0000 Ga
0.0000 0.0000 0.0000 Ge
```

Computed properties:
* formation energy (no corrections): -1.080 eV/atom